DFT (PBE) results for a geometry-optimized RbCd2RuPb structure.

Geometry as POSCAR:
```
RbCd2RuPb
1.0
5.394 0.000 0.000
0.000 5.394 0.000
0.000 0.000 5.208
Rb Cd Ru Pb
1 2 1 1
Direct
0.000 0.000 0.000
0.000 0.500 0.500
0.500 0.000 0.500
0.500 0.500 0.500
0.500 0.500 0.000
```

Output
Calculated volume, Å³/atom: 30.31
Final energy, eV/cell: -15.480
M_tot, μB per formula unit: 0.0